No. 1
First-principles (PBE-GGA) data for an optimized crystal structure of Pm2ZrS5, as listed in the Alexandria database.

Computed properties:
**Fermi-level density of states**: 0.00 states/eV/atom
**Polymorph energy (0 for the lowest one)**: 10.5 kJ/mol of atoms
**E**: -105.96 eV/cell
**M_tot**: 0.00 μB per cell

Unit cell a=7.2912 b=7.2912 c=13.0015 alpha=90.00 beta=90.00 gamma=137.66
Fractional positions:
1 Pm 0.1442 0.8558 0.5634
2 Pm 0.1442 0.8558 0.9366
3 Pm 0.8558 0.1442 0.0634
4 Pm 0.8558 0.1442 0.4366
5 Zr 0.1875 0.8125 0.2500
6 Zr 0.8125 0.1875 0.7500
7 S 0.0492 0.9508 0.1237
8 S 0.0492 0.9508 0.3763
9 S 0.2678 0.7322 0.7500
10 S 0.3019 0.6981 0.0863
11 S 0.3019 0.6981 0.4137
12 S 0.6981 0.3019 0.5863
13 S 0.6981 0.3019 0.9137
14 S 0.7322 0.2678 0.2500
15 S 0.9508 0.0492 0.6237
16 S 0.9508 0.0492 0.8763

***

No. 2
First-principles (PBE-GGA) data for an optimized crystal structure of Pm2ZrS5, as listed in the Alexandria database.

Computed properties:
**Polymorph energy (0 for the lowest one)**: 0.0 kJ/mol of atoms
**E**: -215.43 eV/cell
**M_tot**: 0.00 μB per cell

Unit cell a=11.6786 b=7.9531 c=7.3765 alpha=90.00 beta=90.00 gamma=90.00
Fractional positions:
1 Pm 0.1772 0.0017 0.0301
2 Pm 0.1772 0.4983 0.0301
3 Pm 0.3228 0.5017 0.5301
4 Pm 0.3228 0.9983 0.5301
5 Pm 0.6772 0.0017 0.4699
6 Pm 0.6772 0.4983 0.4699
7 Pm 0.8228 0.5017 0.9699
8 Pm 0.8228 0.9983 0.9699
9 Zr 0.0079 0.7500 0.5767
10 Zr 0.4921 0.2500 0.0767
11 Zr 0.5079 0.7500 0.9233
12 Zr 0.9921 0.2500 0.4233
13 S 0.0039 0.7500 0.9457
14 S 0.0889 0.0364 0.6634
15 S 0.0889 0.4636 0.6634
16 S 0.1835 0.7500 0.3382
17 S 0.2070 0.2500 0.3167
18 S 0.2930 0.7500 0.8167
19 S 0.3165 0.2500 0.8382
20 S 0.4111 0.5364 0.1634
21 S 0.4111 0.9636 0.1634
22 S 0.4961 0.2500 0.4457
23 S 0.5039 0.7500 0.5543
24 S 0.5889 0.0364 0.8366
25 S 0.5889 0.4636 0.8366
26 S 0.6835 0.7500 0.1618
27 S 0.7070 0.2500 0.1833
28 S 0.7930 0.7500 0.6833
29 S 0.8165 0.2500 0.6618
30 S 0.9111 0.5364 0.3366
31 S 0.9111 0.9636 0.3366
32 S 0.9961 0.2500 0.0543

***

No. 3
First-principles (PBE-GGA) data for an optimized crystal structure of Pm5Sb, as listed in the Alexandria database.

Computed properties:
**Fermi-level density of states**: 1.19 states/eV/atom
**E**: -29.82 eV/cell
**M_tot**: 0.00 μB per cell

Unit cell a=8.1063 b=8.1063 c=4.9396 alpha=90.00 beta=90.00 gamma=144.72
Fractional positions:
1 Pm 0.0000 0.0000 0.0000
2 Pm 0.1584 0.8416 0.5000
3 Pm 0.3381 0.6619 0.0000
4 Pm 0.6619 0.3381 0.0000
5 Pm 0.8416 0.1584 0.5000
6 Sb 0.5000 0.5000 0.5000

***

No. 4
First-principles (PBE-GGA) data for an optimized crystal structure of PmSb2, as listed in the Alexandria database.

Computed properties:
**Fermi-level density of states**: 0.35 states/eV/atom
**Polymorph energy (0 for the lowest one)**: 1.4 kJ/mol of atoms
**E**: -30.67 eV/cell
**M_tot**: 0.00 μB per cell

Unit cell a=8.8559 b=8.8559 c=4.4500 alpha=90.00 beta=90.00 gamma=150.88
Fractional positions:
1 Pm 0.1049 0.8951 0.7500
2 Pm 0.8951 0.1049 0.2500
3 Sb 0.2498 0.7502 0.2500
4 Sb 0.4337 0.5663 0.7500
5 Sb 0.5663 0.4337 0.2500
6 Sb 0.7502 0.2498 0.7500